(1)
Computed, not measured: a geometry-optimized Er2Sn2O7 structure at the PBEsol level of DFT.

extended XYZ file:
```
22
Lattice="0.000 5.160 5.160 5.160 0.000 5.160 5.160 5.160 0.000" Properties=species:S:1:pos:R:3 pbc="T T T"
Er 0.000 0.000 0.000
Er 2.580 2.580 0.000
Er 2.580 0.000 2.580
Er 0.000 2.580 2.580
Sn 5.160 2.580 2.580
Sn 2.580 5.160 2.580
Sn 2.580 2.580 5.160
Sn 5.160 5.160 5.160
O 1.290 1.290 1.290
O 3.870 3.870 1.636
O 3.870 1.636 3.870
O 6.103 3.870 3.870
O 6.450 6.450 4.216
O 6.450 4.216 6.450
O 8.683 6.450 6.450
O 1.636 3.870 3.870
O 3.870 6.103 3.870
O 3.870 3.870 6.103
O 4.216 6.450 6.450
O 6.450 8.683 6.450
O 6.450 6.450 8.683
O 9.030 9.030 9.030
```

Output
total magnetization = 0.00 μB per cell
final energy = -7.66 eV per atom

=====

(2)
Computed, not measured: a geometry-optimized ErTa3O9 structure at the PBEsol level of DFT.

extended XYZ file:
```
52
Lattice="6.359 0.000 0.000 0.000 7.545 0.000 0.000 0.000 12.394" Properties=species:S:1:pos:R:3 pbc="T T T"
Er 0.380 1.886 0.422
Er 2.800 5.659 6.620
Er 3.559 1.886 5.775
Er 5.980 5.659 11.972
Ta 0.000 0.000 6.197
Ta 0.000 3.773 6.197
Ta 1.234 0.021 9.781
Ta 1.234 3.752 9.781
Ta 1.945 3.794 3.584
Ta 1.945 7.524 3.584
Ta 3.180 0.000 0.000
Ta 3.180 3.773 0.000
Ta 4.414 0.021 8.811
Ta 4.414 3.752 8.811
Ta 5.125 3.794 2.613
Ta 5.125 7.524 2.613
O 0.048 0.387 8.155
O 0.048 3.385 8.155
O 0.480 5.659 6.569
O 0.729 0.326 2.086
O 0.729 3.446 2.086
O 0.930 1.886 10.384
O 1.256 5.659 10.056
O 1.276 4.016 11.971
O 1.276 7.302 11.971
O 1.904 0.244 5.774
O 1.904 3.529 5.774
O 1.923 1.886 3.859
O 2.249 5.659 4.186
O 2.451 4.099 8.284
O 2.451 7.219 8.284
O 2.699 1.886 0.372
O 3.132 4.160 1.958
O 3.132 7.158 1.958
O 3.227 0.387 10.436
O 3.227 3.385 10.436
O 3.660 5.659 12.022
O 3.909 0.326 4.111
O 3.909 3.446 4.111
O 4.110 1.886 8.208
O 4.436 5.659 8.536
O 4.455 4.016 6.621
O 4.455 7.302 6.621
O 5.084 0.244 0.423
O 5.084 3.529 0.423
O 5.103 1.886 2.339
O 5.429 5.659 2.011
O 5.630 4.099 10.308
O 5.630 7.219 10.308
O 5.879 1.886 5.825
O 6.311 4.160 4.239
O 6.311 7.158 4.239
```

Output
total magnetization = 0.00 μB per cell
final energy = -9.97 eV per atom

=====

(3)
Computed, not measured: a geometry-optimized ErTa3O9 structure at the PBEsol level of DFT.

extended XYZ file:
```
26
Lattice="5.200 0.000 0.000 0.000 7.412 0.000 -0.358 0.000 8.198" Properties=species:S:1:pos:R:3 pbc="T T T"
Er 0.018 1.853 3.555
Er 4.823 5.559 4.643
Ta 0.000 0.000 0.000
Ta 0.000 3.706 0.000
Ta 2.195 0.057 5.706
Ta 2.195 3.649 5.706
Ta 2.647 3.763 2.492
Ta 2.647 7.355 2.492
O 0.193 1.853 8.003
O 0.462 4.209 6.414
O 0.462 6.909 6.414
O 1.161 4.041 3.826
O 1.161 7.078 3.826
O 1.467 1.853 5.338
O 1.672 4.137 0.969
O 1.672 6.981 0.969
O 2.068 1.853 2.569
O 2.774 5.559 5.629
O 3.170 0.431 7.229
O 3.170 3.275 7.229
O 3.375 5.559 2.860
O 3.681 0.334 4.372
O 3.681 3.372 4.372
O 4.380 0.503 1.784
O 4.380 3.203 1.784
O 4.648 5.559 0.195
```

Output
total magnetization = 0.00 μB per cell
final energy = -9.97 eV per atom

=====

(4)
Computed, not measured: a geometry-optimized Er2TeO2 structure at the PBEsol level of DFT.

extended XYZ file:
```
10
Lattice="3.847 0.000 0.000 0.000 3.847 0.000 0.000 0.000 12.174" Properties=species:S:1:pos:R:3 pbc="T T T"
Er 0.000 0.000 1.978
Er 0.000 0.000 10.196
Er 1.923 1.923 4.109
Er 1.923 1.923 8.065
Te 0.000 0.000 6.087
Te 1.923 1.923 0.000
O 0.000 1.923 3.044
O 0.000 1.923 9.131
O 1.923 0.000 3.044
O 1.923 0.000 9.131
```

Output
total magnetization = 0.00 μB per cell
final energy = -7.81 eV per atom

=====

(5)
Computed, not measured: a geometry-optimized Er2TeO6 structure at the PBEsol level of DFT.

extended XYZ file:
```
36
Lattice="5.206 0.000 0.000 0.000 8.967 0.000 0.000 0.000 9.823" Properties=species:S:1:pos:R:3 pbc="T T T"
Er 0.104 0.925 4.558
Er 0.213 1.952 8.519
Er 2.390 7.016 3.607
Er 2.499 8.042 9.470
Er 2.707 3.559 5.265
Er 2.816 2.532 1.304
Er 4.993 6.435 6.216
Er 5.102 5.409 0.354
Te 0.204 4.436 3.441
Te 2.399 4.532 8.353
Te 2.807 0.048 6.382
Te 5.002 8.919 1.470
O 0.447 7.562 0.269
O 0.886 8.507 2.976
O 0.912 5.753 8.059
O 0.983 5.768 2.312
O 1.230 1.025 0.675
O 1.279 5.270 4.864
O 1.324 3.697 9.775
O 1.373 7.942 5.587
O 1.620 3.199 7.223
O 1.692 3.214 3.147
O 1.717 0.460 7.888
O 2.156 1.406 5.181
O 3.050 5.889 9.554
O 3.489 4.944 6.847
O 3.515 7.698 1.764
O 3.586 7.683 7.512
O 3.833 3.458 9.148
O 3.882 8.181 4.960
O 3.928 0.787 0.048
O 3.977 5.509 4.236
O 4.223 1.284 2.600
O 4.295 1.269 6.676
O 4.320 4.024 1.936
O 4.759 3.078 4.642
```

Output
total magnetization = 0.00 μB per cell
final energy = -7.62 eV per atom

=====

(6)
Computed, not measured: a geometry-optimized Er2Te4O11 structure at the PBEsol level of DFT.

extended XYZ file:
```
34
Lattice="6.102 -2.529 0.000 6.102 2.529 0.000 -4.484 0.000 15.227" Properties=species:S:1:pos:R:3 pbc="T T T"
Er 0.327 1.274 14.671
Er 5.151 1.274 8.170
Er 2.569 -1.274 7.057
Er 7.393 -1.274 0.556
Te 1.782 1.439 9.569
Te 3.226 1.410 4.549
Te 3.696 1.439 13.272
Te 6.736 1.410 3.064
Te 0.984 -1.410 12.163
Te 4.024 -1.439 1.955
Te 4.494 -1.410 10.678
Te 5.938 -1.439 5.658
O 4.002 2.143 6.160
O 5.959 2.143 1.453
O -1.706 0.237 14.428
O 0.204 0.312 9.585
O 0.536 -0.237 6.815
O 0.513 0.326 12.650
O 2.446 -0.312 1.972
O 2.840 0.534 8.299
O 4.981 0.687 3.807
O 2.755 -0.326 5.037
O 2.638 0.534 14.541
O 5.082 -0.534 0.686
O 4.964 0.326 10.190
O 2.739 -0.687 11.420
O 4.880 -0.534 6.928
O 5.274 0.312 13.255
O 7.206 -0.326 2.576
O 7.184 0.237 8.412
O 7.516 -0.312 5.642
O 9.426 -0.237 0.799
O 1.760 -2.143 13.774
O 3.717 -2.143 9.067
```

Output
total magnetization = 0.00 μB per cell
final energy = -6.70 eV per atom

=====

(7)
Computed, not measured: a geometry-optimized Er2TeO6 structure at the PBEsol level of DFT.

extended XYZ file:
```
18
Lattice="4.904 0.000 0.000 0.000 4.904 0.000 0.000 0.000 9.908" Properties=species:S:1:pos:R:3 pbc="T T T"
Er 0.000 0.000 1.640
Er 0.000 0.000 8.268
Er 2.452 2.452 3.314
Er 2.452 2.452 6.594
Te 0.000 0.000 4.954
Te 2.452 2.452 0.000
O 0.904 0.904 3.493
O 0.904 0.904 6.415
O 1.076 1.076 0.000
O 1.376 3.528 4.954
O 1.548 3.356 1.461
O 1.548 3.356 8.448
O 3.356 1.548 1.461
O 3.356 1.548 8.448
O 3.528 1.376 4.954
O 3.828 3.828 0.000
O 3.999 3.999 3.493
O 3.999 3.999 6.415
```

Output
total magnetization = 0.00 μB per cell
final energy = -7.55 eV per atom

=====

(8)
Computed, not measured: a geometry-optimized Er2TeO6 structure at the PBEsol level of DFT.

extended XYZ file:
```
27
Lattice="8.971 0.000 0.000 -4.485 7.769 0.000 0.000 0.000 5.120" Properties=species:S:1:pos:R:3 pbc="T T T"
Er -1.711 2.964 0.000
Er -3.222 5.581 2.560
Er 1.263 2.188 2.560
Er 3.422 0.000 0.000
Er 2.774 4.805 0.000
Er 6.445 0.000 2.560
Te 0.000 0.000 0.000
Te 0.000 5.179 2.585
Te 4.485 2.590 2.535
O -0.217 1.572 1.097
O -3.016 7.171 1.097
O -1.465 4.564 1.481
O 1.470 0.598 4.023
O -0.034 3.588 3.700
O -1.361 6.004 3.700
O 1.266 4.218 1.481
O 0.199 6.756 1.481
O 3.125 1.765 1.420
O 1.395 5.945 3.700
O 3.020 3.205 3.640
O 4.685 1.013 3.640
O 4.452 4.180 1.420
O 5.880 1.824 1.420
O 3.233 6.795 1.097
O 5.751 3.550 3.640
O 4.269 6.197 4.023
O 7.718 0.974 4.023
```

Output
total magnetization = 0.00 μB per cell
final energy = -7.60 eV per atom

=====

(9)
Computed, not measured: a geometry-optimized Er2TeO2 structure at the PBEsol level of DFT.

extended XYZ file:
```
5
Lattice="3.817 0.000 0.000 -1.908 3.305 0.000 0.000 0.000 7.082" Properties=species:S:1:pos:R:3 pbc="T T T"
Er 0.000 2.204 2.164
Er 1.908 1.102 4.918
Te 0.000 0.000 0.000
O 0.000 2.204 4.389
O 1.908 1.102 2.693
```

Output
total magnetization = 0.00 μB per cell
final energy = -7.73 eV per atom

=====

(10)
Computed, not measured: a geometry-optimized Er2TeO2 structure at the PBEsol level of DFT.

extended XYZ file:
```
10
Lattice="3.819 0.000 0.000 -1.909 3.307 0.000 0.000 0.000 14.136" Properties=species:S:1:pos:R:3 pbc="T T T"
Er 0.000 2.205 1.377
Er 0.000 2.205 5.692
Er 1.909 1.102 8.445
Er 1.909 1.102 12.760
Te 0.000 0.000 3.534
Te 0.000 0.000 10.602
O 0.000 2.205 7.920
O 0.000 2.205 13.285
O 1.909 1.102 0.852
O 1.909 1.102 6.216
```

Output
total magnetization = 0.00 μB per cell
final energy = -7.74 eV per atom

=====

(11)
Computed, not measured: a geometry-optimized Er2TiO5 structure at the PBEsol level of DFT.

extended XYZ file:
```
32
Lattice="7.225 0.000 0.000 0.000 3.597 0.000 0.000 0.000 15.168" Properties=species:S:1:pos:R:3 pbc="T T T"
Er 0.638 0.899 1.367
Er 0.990 0.899 11.105
Er 2.622 2.698 3.521
Er 2.974 2.698 8.951
Er 4.251 0.899 6.216
Er 4.603 0.899 11.647
Er 6.234 2.698 4.063
Er 6.587 2.698 13.800
Ti 0.916 0.899 6.472
Ti 2.697 2.698 14.056
Ti 4.528 0.899 1.112
Ti 6.309 2.698 8.695
O 0.570 2.698 6.870
O 0.649 2.698 2.705
O 0.772 2.698 9.834
O 1.102 2.698 0.035
O 1.546 2.698 12.585
O 2.067 0.899 5.001
O 2.511 0.899 7.619
O 2.840 0.899 2.250
O 2.964 0.899 10.289
O 3.043 0.899 14.454
O 4.182 2.698 0.714
O 4.261 2.698 4.879
O 4.385 2.698 12.917
O 4.714 2.698 7.549
O 5.158 2.698 10.166
O 5.679 0.899 2.582
O 6.123 0.899 15.132
O 6.453 0.899 5.333
O 6.576 0.899 12.463
O 6.655 0.899 8.298
```

Output
total magnetization = 0.00 μB per cell
final energy = -9.03 eV per atom

=====

(12)
Computed, not measured: a geometry-optimized Er2TiO5 structure at the PBEsol level of DFT.

extended XYZ file:
```
16
Lattice="2.002 -5.426 0.000 2.002 5.426 0.000 0.000 0.000 10.313" Properties=species:S:1:pos:R:3 pbc="T T T"
Er 2.002 3.873 5.872
Er 2.002 3.873 9.596
Er 2.002 -3.873 0.716
Er 2.002 -3.873 4.440
Ti 2.002 3.564 2.578
Ti 2.002 -3.564 7.734
O 2.002 4.883 1.265
O 2.002 4.883 3.891
O 2.002 2.446 7.734
O 2.002 2.285 0.934
O 2.002 2.285 4.222
O 2.002 -2.285 6.090
O 2.002 -2.285 9.378
O 2.002 -2.446 2.578
O 2.002 -4.883 6.421
O 2.002 -4.883 9.048
```

Output
total magnetization = 0.00 μB per cell
final energy = -8.98 eV per atom

=====

(13)
Computed, not measured: a geometry-optimized ErTiO3 structure at the PBEsol level of DFT.

extended XYZ file:
```
20
Lattice="5.634 0.000 0.000 0.000 7.538 0.000 0.000 0.000 5.227" Properties=species:S:1:pos:R:3 pbc="T T T"
Er 0.424 1.884 0.127
Er 2.393 5.653 2.740
Er 3.241 1.884 2.487
Er 5.210 5.653 5.101
Ti 0.000 0.000 2.614
Ti 0.000 3.769 2.614
Ti 2.817 0.000 0.000
Ti 2.817 3.769 0.000
O 0.279 5.653 1.945
O 1.104 4.221 4.249
O 1.104 7.085 4.249
O 1.713 0.453 1.635
O 1.713 3.316 1.635
O 2.538 1.884 4.558
O 3.096 5.653 0.669
O 3.921 4.221 3.592
O 3.921 7.085 3.592
O 4.530 0.453 0.979
O 4.530 3.316 0.979
O 5.355 1.884 3.282
```

Output
total magnetization = 4.03 μB per cell
final energy = -9.09 eV per atom

=====

(14)
Computed, not measured: a geometry-optimized Er2TiO5 structure at the PBEsol level of DFT.

extended XYZ file:
```
16
Lattice="5.782 -2.593 0.000 5.782 2.593 0.000 -3.034 0.000 6.735" Properties=species:S:1:pos:R:3 pbc="T T T"
Er 0.830 0.069 1.742
Er -0.687 -0.069 5.110
Er 9.217 0.069 1.625
Er 7.700 -0.069 4.993
Ti 5.782 0.000 0.000
Ti 4.265 0.000 3.367
O 4.821 1.655 0.279
O 2.732 0.783 2.421
O 5.227 1.655 3.088
O 3.507 0.864 5.051
O 1.215 -0.783 5.788
O 7.316 0.783 0.946
O 5.024 -0.864 1.684
O 3.304 -1.655 3.646
O 5.799 -0.783 4.314
O 3.710 -1.655 6.456
```

Output
total magnetization = 0.00 μB per cell
final energy = -8.98 eV per atom